This record from Alexandria describes an optimized crystal structure of BaCdSbI2. The functional is PBE.

a = 6.671 Å, b = 6.671 Å, c = 7.263 Å
α = 90.00°, β = 90.00°, γ = 90.00°
Space group P4/mmm (No. 123)
Asymmetric unit:
Ba 0.000 0.000 0.000 x1
Cd 0.500 0.500 0.500 x1
Sb 0.000 0.000 0.500 x1
I 0.000 0.500 0.000 x2

Computed properties:
final energy: -2.263 eV per atom
calculated volume: 323.19 Å³/f.u.
DOS at the Fermi energy: 4.54 states/eV per cell
energy relative to the elements, uncorrected: -251 meV/atom
magnetization: 2.36 μB/cell

This record from Alexandria describes an optimized crystal structure of LiPmAlPd2. The functional is PBE.

a = 3.966 Å, b = 3.966 Å, c = 12.012 Å
α = 90.00°, β = 90.00°, γ = 90.00°
Space group I-4m2 (No. 119)
Asymmetric unit:
Li 0.000 0.000 0.000 x2
Pm 0.000 0.500 0.250 x2
Al 0.000 0.000 0.500 x2
Pd 0.000 0.500 0.635 x4

Computed properties:
final energy: -4.868 eV per atom
calculated volume: 94.48 Å³/f.u.
ΔE_f: -0.7094 eV per atom
DOS at the Fermi energy: 2.67 states/eV per cell
magnetization: 0.00 μB/cell

> Among the records above, which one has the lowest calculated volume?

LiPmAlPd2

Repeat the first record exactly.
This record from Alexandria describes an optimized crystal structure of BaCdSbI2. The functional is PBE.

a = 6.671 Å, b = 6.671 Å, c = 7.263 Å
α = 90.00°, β = 90.00°, γ = 90.00°
Space group P4/mmm (No. 123)
Asymmetric unit:
Ba 0.000 0.000 0.000 x1
Cd 0.500 0.500 0.500 x1
Sb 0.000 0.000 0.500 x1
I 0.000 0.500 0.000 x2

Computed properties:
final energy: -2.263 eV per atom
calculated volume: 323.19 Å³/f.u.
DOS at the Fermi energy: 4.54 states/eV per cell
energy relative to the elements, uncorrected: -251 meV/atom
magnetization: 2.36 μB/cell